# SiMoP2O | Alexandria via LeMat-Bulk | GGA+U | relaxed
# density: 3.77 g/cm³
# energy above the lowest structure with this stoichiometry: 352 meV per atom
# total magnetization: 0.4 μB/f.u.
data_SiMoP2O
_symmetry_space_group_name_H-M 'P 4/m m m'
_symmetry_Int_Tables_number 123
_symmetry_space_group_name_Hall '-P 4 2'
_cell_length_a 4.869
_cell_length_b 4.869
_cell_length_c 3.757
_cell_angle_alpha 90.00
_cell_angle_beta 90.00
_cell_angle_gamma 90.00
loop_
_atom_site_label
_atom_site_fract_x
_atom_site_fract_y
_atom_site_fract_z
Si1 0.000 0.000 0.000
Mo1 0.500 0.500 0.500
P1 0.000 0.500 0.500
O1 0.500 0.500 0.000